# 1
This record from Alexandria describes a geometry-optimized La2Sb3PtRh4 structure. The functional is PBE.

a = 4.217 Å, b = 4.217 Å, c = 11.934 Å
α = 90.00°, β = 90.00°, γ = 90.00°
Atoms (fractional coordinates):
La 0.000 0.500 0.226
La 0.500 0.000 0.774
Sb 0.000 0.000 0.000
Sb 0.000 0.500 0.629
Sb 0.500 0.000 0.371
Pt 0.500 0.500 0.000
Rh 0.000 0.000 0.500
Rh 0.000 0.500 0.843
Rh 0.500 0.000 0.157
Rh 0.500 0.500 0.500

Output
space-group type = No. 115


# 2
This record from Alexandria describes a geometry-optimized LaSb2PtRh structure. The functional is PBE.

a = 5.177 Å, b = 5.177 Å, c = 5.378 Å
α = 90.00°, β = 90.00°, γ = 90.00°
Atoms (fractional coordinates):
La 0.000 0.000 0.000
Sb 0.000 0.500 0.500
Sb 0.500 0.000 0.500
Pt 0.000 0.000 0.500
Rh 0.500 0.500 0.000

Output
space-group type = No. 123


The records above give, respectively, formation energy (no corrections) values of -801; 205 meV/atom.
The records above give, respectively, D(E_F) values of 5.41; 5.15 states/eV/cell.